Record 1
YEr2Lu after structural relaxation. Source: Alexandria, functional PBE.

Output
**DOS(E_F)**: 40.8 states/eV per cell
**Energy above the lowest structure with this stoichiometry**: 0.110 eV per atom
**Size of the total moment**: 0.79 μB/cell

a = 7.9345 Å, b = 7.9345 Å, c = 7.9345 Å
α = 90.00°, β = 90.00°, γ = 90.00°
Space group Fm-3m (No. 225)
Symmetry-distinct sites (fractional):
Y  0.0000  0.0000  0.0000 x4
Er  0.2500  0.2500  0.2500 x8
Lu  0.0000  0.0000  0.5000 x4

---

Record 2
CdReBr2 after structural relaxation. Source: Alexandria, functional PBE.

Output
**DOS(E_F)**: 2.6 states/eV per cell
**Formation energy from raw total energies**: 1.193 eV per atom
**Energy above the lowest structure with this stoichiometry**: 0.938 eV per atom
**Size of the total moment**: 3.56 μB/cell

a = 4.6804 Å, b = 4.6804 Å, c = 4.2568 Å
α = 90.00°, β = 90.00°, γ = 90.00°
Space group P4/mmm (No. 123)
Symmetry-distinct sites (fractional):
Cd  0.0000  0.0000  0.0000 x1
Re  0.5000  0.5000  0.0000 x1
Br  0.0000  0.5000  0.5000 x2

---

Question: Which formula does entry 2 have?
Answer: CdReBr2